4
Lattice="-2.3785 0.2924 1.6411 -2.3225 -1.1352 -3.1638 0.3230 -3.9044 1.1638" Properties=species:S:1:pos:R:3 comment="Cr3Re meta-GGA SCAN single point on PBEsol structure" rho_g_cm3=11.72 sg="P4/mmm (123)" total_magnetization_mub_per_cell=0.33 energy_ev_per_cell=-126.6 formation_energy_mev_per_atom=-97 pbc="T T T"
Cr -1.2215 -1.9007 1.1386
Cr -2.5447 -0.5163 -1.0259
Cr -0.1932 -0.0944 -0.2632
Re -1.1928 -2.6141 -1.2630